Record 1
Below is a relaxed structure of Sr3LiPb12, with properties calculated at the PBE-GGA level.

Cell and atoms, written as POSCAR:
```
Sr3LiPb12
1.0
5.0062 0.0000 0.0000
0.0000 5.0062 0.0000
0.0000 0.0000 19.8303
Sr Li Pb
3 1 12
Direct
0.0000 0.0000 0.2464
0.0000 0.0000 0.5000
0.0000 0.0000 0.7536
0.0000 0.0000 0.0000
0.5000 0.5000 0.0000
0.5000 0.5000 0.2433
0.5000 0.5000 0.5000
0.5000 0.5000 0.7567
0.5000 0.0000 0.1146
0.5000 0.0000 0.3726
0.5000 0.0000 0.6274
0.5000 0.0000 0.8854
0.0000 0.5000 0.1146
0.0000 0.5000 0.3726
0.0000 0.5000 0.6274
0.0000 0.5000 0.8854
```

Values from the calculation:
Its formation energy is -0.283 eV/atom. The calculation puts the electronic total energy at -55.99 eV/f.u. The value obtained for the density of states at the Fermi level is 7.09 states/eV per cell.

---

Record 2
Below is a relaxed structure of K3AgPt8, with properties calculated at the PBE-GGA level.

Cell and atoms, written as POSCAR:
```
K3AgPt8
1.0
5.2344 0.0000 1.5801
2.3787 4.6627 1.5801
-0.0129 -0.0079 9.5027
K Ag Pt
3 1 8
Direct
0.3743 0.3743 0.8770
0.0003 0.0003 0.9992
0.4998 0.4998 0.5005
0.8757 0.8757 0.3729
0.9329 0.4362 0.1947
0.4422 0.9387 0.6805
0.4362 0.4362 0.1947
0.9387 0.9387 0.6805
0.1875 0.1875 0.4374
0.6875 0.6875 0.9374
0.4362 0.9329 0.1947
0.9387 0.4422 0.6805
```

Values from the calculation:
Its formation energy is -0.114 eV/atom. The calculation puts the electronic total energy at -55.84 eV/f.u. The value obtained for the density of states at the Fermi level is 6.89 states/eV per cell.

---

Record 3
Below is a relaxed structure of Pm2ErScBi4, with properties calculated at the PBE-GGA level.

Cell and atoms, written as POSCAR:
```
Pm2ErScBi4
1.0
-1.7085 2.8739 2.9803
-6.6358 -4.0101 0.0627
4.7576 -2.7912 5.4189
Pm Er Sc Bi
2 1 1 4
Direct
0.5000 0.0000 0.5000
0.0000 0.5000 0.5000
0.0000 0.0000 0.0000
0.5000 0.5000 0.0000
0.5000 0.2511 0.2368
0.5000 0.7489 0.7632
0.0000 0.2610 0.7671
0.0000 0.7390 0.2329
```

Values from the calculation:
Its formation energy is -0.827 eV/atom. The calculation puts the electronic total energy at -42.54 eV/f.u. The value obtained for the density of states at the Fermi level is 1.37 states/eV per cell.

---

Record 4
Below is a relaxed structure of Mg3PbI8, with properties calculated at the PBE-GGA level.

Cell and atoms, written as POSCAR:
```
Mg3PbI8
1.0
-6.3905 -2.0952 -5.5065
8.2888 -0.5906 -2.5345
-3.2389 -6.1919 6.1148
Mg Pb I
3 1 8
Direct
0.5000 0.0000 0.0000
0.5000 0.5000 0.0000
0.0000 0.5000 0.0000
0.0000 0.0000 0.0000
0.2603 0.5205 0.7867
0.7397 0.4795 0.2133
0.2815 0.0263 0.7768
0.7448 0.0263 0.7768
0.7447 0.4895 0.7765
0.2553 0.5105 0.2235
0.2552 0.9737 0.2232
0.7185 0.9737 0.2232
```

Values from the calculation:
The calculation puts the electronic total energy at -32.02 eV/f.u. The value obtained for the density of states at the Fermi level is 0.00 states/eV per cell.

---

Record 5
Below is a relaxed structure of RbPrHgBr6, with properties calculated at the PBE-GGA level.

Cell and atoms, written as POSCAR:
```
RbPrHgBr6
1.0
-6.6328 -0.8307 -3.4554
0.5692 -1.2427 7.3998
-3.2367 14.6056 2.7018
Rb Pr Hg Br
2 2 2 12
Direct
0.0000 0.0000 0.0000
0.0000 0.0000 0.5000
0.3333 0.6667 0.2500
0.6667 0.3333 0.7500
0.6667 0.3333 0.2500
0.3333 0.6667 0.7500
0.6263 0.6198 0.1385
0.9935 0.3736 0.1385
0.3737 0.9935 0.6385
0.0065 0.6264 0.8615
0.3802 0.3736 0.3615
0.9935 0.6198 0.3615
0.6198 0.9935 0.8615
0.6263 0.0065 0.3615
0.0065 0.3802 0.6385
0.3802 0.0065 0.1385
0.6198 0.6264 0.6385
0.3737 0.3802 0.8615
```

Values from the calculation:
The calculation puts the electronic total energy at -28.37 eV/f.u. The value obtained for the density of states at the Fermi level is 0.00 states/eV per cell.

---

Record 6
Below is a relaxed structure of InRePb2O6, with properties calculated at the PBE-GGA level.

Cell and atoms, written as POSCAR:
```
InRePb2O6
1.0
-1.1912 -3.7811 4.2265
-3.1084 -3.3309 -3.8559
6.8275 -4.2243 -1.8549
In Re Pb O
2 2 4 12
Direct
0.0000 0.7290 0.5000
0.5000 0.2710 0.0000
0.5000 0.2488 0.5000
0.0000 0.7512 0.0000
0.5000 0.7943 0.2237
0.0000 0.2057 0.7237
0.5000 0.7943 0.7763
0.0000 0.2057 0.2763
0.5000 0.2168 0.2606
0.5000 0.2168 0.7394
0.0000 0.7832 0.2394
0.0000 0.7832 0.7606
0.2451 0.0159 0.5000
0.7549 0.0159 0.5000
0.2520 0.4664 0.5000
0.7480 0.4664 0.5000
0.7520 0.5336 0.0000
0.2480 0.5336 0.0000
0.2549 0.9841 0.0000
0.7451 0.9841 0.0000
```

Values from the calculation:
The calculation puts the electronic total energy at -64.95 eV/f.u. The value obtained for the density of states at the Fermi level is 8.59 states/eV per cell.

---

Record 7
Below is a relaxed structure of Pr2Sm5YEr, with properties calculated at the PBE-GGA level.

Cell and atoms, written as POSCAR:
```
Pr2Sm5YEr
1.0
-6.5280 -4.1094 3.9416
-1.8510 -4.1391 -7.3810
9.2900 -1.9420 3.8425
Pr Sm Y Er
4 10 2 2
Direct
0.1206 0.3794 0.0000
0.6206 0.1206 0.0000
0.3794 0.8794 0.0000
0.8794 0.6206 0.0000
0.9262 0.4262 0.2855
0.6408 0.1407 0.7145
0.0738 0.5738 0.7145
0.1407 0.0738 0.7145
0.5738 0.6408 0.7145
0.8592 0.9262 0.2855
0.4262 0.3592 0.2855
0.3592 0.8592 0.2855
0.5000 0.5000 0.0000
0.0000 0.0000 0.0000
0.2500 0.2500 0.5000
0.7500 0.7500 0.5000
0.2500 0.7500 0.5000
0.7500 0.2500 0.5000
```

Values from the calculation:
Its formation energy is 0.269 eV/atom. The calculation puts the electronic total energy at -41.76 eV/f.u. The value obtained for the density of states at the Fermi level is 26.56 states/eV per cell.

---

Record 8
Below is a relaxed structure of Na2LaTl5, with properties calculated at the PBE-GGA level.

Cell and atoms, written as POSCAR:
```
Na2LaTl5
1.0
-3.2639 -3.7275 0.5559
3.1472 -3.1003 -2.3107
3.9002 1.2611 8.9984
Na La Tl
2 1 5
Direct
0.7532 0.7532 0.5065
0.2468 0.2468 0.4935
0.0000 0.0000 0.0000
0.5000 0.5000 0.0000
0.8708 0.3708 0.7415
0.3708 0.8708 0.7415
0.1292 0.6292 0.2585
0.6292 0.1292 0.2585
```

Values from the calculation:
Its formation energy is -0.199 eV/atom. The calculation puts the electronic total energy at -20.99 eV/f.u. The value obtained for the density of states at the Fermi level is 6.04 states/eV per cell.

---

| no. | M_tot (μB per cell) |
| --- | --- |
| 1 | 0.00 |
| 2 | 0.00 |
| 3 | 0.00 |
| 4 | 0.00 |
| 5 | 0.00 |
| 6 | 4.01 |
| 7 | 0.00 |
| 8 | 0.00 |